# LiBr3

Crystalline LiBr3 at its relaxed geometry (PBE-GGA, the Alexandria database).

- SG: Fm-3m, No. 225
- DOS at the Fermi energy: 1.16 states/eV/atom
- Distance to the lowest polymorph of the same formula: 0.543 eV/atom
- Magnetic moment: 2.0 μB per formula unit
- Calculated volume: 27.5 Å³ per atom

a = 5.3773 Å, b = 5.3773 Å, c = 5.3773 Å
α = 60.00°, β = 60.00°, γ = 60.00°
With the nearest neighbours (Å) after each atom.
Sites, in units of the cell vectors:
Br 0.5000 0.5000 0.5000  8 Br 3.29
Br 0.7500 0.7500 0.7500  4 Br 3.29, 4 Li 3.29
Br 0.2500 0.2500 0.2500  4 Br 3.29, 4 Li 3.29
Li 0.0000 0.0000 0.0000  8 Br 3.29